# Th3GaPd2

A relaxed structure of Th3GaPd2 (PBE-GGA, Alexandria).

The space group is R-3c (No. 167, hexagonal axes) and the conventional cell measures 8.0487, 8.0487 and 16.9966 Å, with angles of 90.00, 90.00 and 120.00 degrees. Symmetry generates all atoms from Th at (0.0000, 0.3214, 0.2500), Ga at (0.0000, 0.0000, 0.0000) and Pd at (0.0000, 0.0000, 0.1625).

The density of states at the Fermi level comes out at 37.09 states/eV per cell. For the total energy, the calculation gives -231.478 eV/cell.

# NaY3F

A relaxed structure of NaY3F (PBE-GGA, Alexandria).

The space group is Pm-3m (No. 221) and the conventional cell measures 5.664, 5.664 and 5.664 Å, with angles of 90.00, 90.00 and 90.00 degrees. Symmetry generates all atoms from Na at (0.000, 0.000, 0.000), Y at (0.000, 0.000, 0.500) and F at (0.500, 0.500, 0.500).

The density of states at the Fermi level comes out at 5.95 states/eV per cell. For the total energy, the calculation gives -19.303 eV/cell. The value obtained for the formation energy (no corrections) is 3.279 eV per formula unit.

# LiTlHg

A relaxed structure of LiTlHg (PBE-GGA, Alexandria).

The space group is I4mm (No. 107) and the conventional cell measures 3.462, 3.462 and 11.521 Å, with angles of 90.00, 90.00 and 90.00 degrees. Symmetry generates all atoms from Li at (0.000, 0.000, 0.000), Tl at (0.000, 0.000, 0.672) and Hg at (0.000, 0.000, 0.374).

The density of states at the Fermi level comes out at 3.02 states/eV per cell. For the total energy, the calculation gives -10.194 eV/cell.

# Th2TcPd

A relaxed structure of Th2TcPd (PBE-GGA, Alexandria).

The space group is R-3m (No. 166, hexagonal axes) and the conventional cell measures 4.1299, 4.1299 and 20.2957 Å, with angles of 90.00, 90.00 and 120.00 degrees. Symmetry generates all atoms from Th at (0.0000, 0.0000, 0.2430), Tc at (0.0000, 0.0000, 0.5000) and Pd at (0.0000, 0.0000, 0.0000).

The density of states at the Fermi level comes out at 9.74 states/eV per cell. For the total energy, the calculation gives -95.213 eV/cell.

# YRe2F

A relaxed structure of YRe2F (PBE-GGA, Alexandria).

The space group is Fm-3m (No. 225) and the conventional cell measures 6.529, 6.529 and 6.529 Å, with angles of 90.00, 90.00 and 90.00 degrees. Symmetry generates all atoms from Y at (0.000, 0.000, 0.000), Re at (0.250, 0.250, 0.250) and F at (0.000, 0.000, 0.500).

The density of states at the Fermi level comes out at 18.74 states/eV per cell. For the total energy, the calculation gives -113.232 eV/cell. The value obtained for the formation energy (no corrections) is 4.924 eV per formula unit.

# PuTlGa2O8

A relaxed structure of PuTlGa2O8 (PBE-GGA, Alexandria).

The space group is I-4m2 (No. 119) and the conventional cell measures 6.856, 6.856 and 6.764 Å, with angles of 90.00, 90.00 and 90.00 degrees. Symmetry generates all atoms from Pu at (0.000, 0.000, 0.000), Tl at (0.000, 0.500, 0.250), Ga at (0.000, 0.000, 0.500), Ga at (0.000, 0.500, 0.750), O at (0.000, 0.180, 0.295) and O at (0.000, 0.297, 0.933).

The density of states at the Fermi level comes out at 11.08 states/eV per cell. For the total energy, the calculation gives -160.253 eV/cell. The value obtained for the formation energy (no corrections) is -17.709 eV per formula unit.